(1)
# Ac2Mg4Al3Cd PBE relaxed
data_Ac2Mg4Al3Cd
_space_group_name_H-M_alt 'P -4 m 2'
_space_group_IT_number 115
_cell_length_a 4.685
_cell_length_b 4.685
_cell_length_c 11.845
_cell_angle_alpha 90.00
_cell_angle_beta 90.00
_cell_angle_gamma 90.00
loop_
_space_group_symop_operation_xyz
'x,y,z'
'y,-x,-z'
'-x,-y,z'
'-y,x,-z'
'-x,y,z'
'-y,-x,-z'
'x,-y,z'
'y,x,-z'
loop_
_atom_site_label
_atom_site_type_symbol
_atom_site_fract_x
_atom_site_fract_y
_atom_site_fract_z
Ac1 Ac 0.000 0.500 0.248
Mg1 Mg 0.000 0.000 0.000
Mg2 Mg 0.000 0.500 0.633
Mg3 Mg 0.500 0.500 0.000
Al1 Al 0.000 0.500 0.862
Al2 Al 0.500 0.500 0.500
Cd1 Cd 0.000 0.000 0.500
# - Mass density: 4.8 g cm⁻³
# - Calculated formation energy: -18.5 kJ/mol of atoms
# - DFT total energy: -2.8655 eV per atom



(2)
# Sr2HoIn3Pt4 PBE relaxed
data_Sr2HoIn3Pt4
_space_group_name_H-M_alt 'P -4 m 2'
_space_group_IT_number 115
_cell_length_a 4.651
_cell_length_b 4.651
_cell_length_c 11.383
_cell_angle_alpha 90.00
_cell_angle_beta 90.00
_cell_angle_gamma 90.00
loop_
_space_group_symop_operation_xyz
'x,y,z'
'y,-x,-z'
'-x,-y,z'
'-y,x,-z'
'-x,y,z'
'-y,-x,-z'
'x,-y,z'
'y,x,-z'
loop_
_atom_site_label
_atom_site_type_symbol
_atom_site_fract_x
_atom_site_fract_y
_atom_site_fract_z
Sr1 Sr 0.000 0.500 0.224
Ho1 Ho 0.000 0.000 0.500
In1 In 0.000 0.500 0.878
In2 In 0.500 0.500 0.500
Pt1 Pt 0.000 0.000 0.000
Pt2 Pt 0.000 0.500 0.641
Pt3 Pt 0.500 0.500 0.000
# - Mass density: 9.9 g cm⁻³
# - Calculated formation energy: -74.5 kJ/mol of atoms
# - DFT total energy: -4.8037 eV per atom



(3)
# Hg2RhCl PBE relaxed
data_Hg2RhCl
_space_group_name_H-M_alt 'F m -3 m'
_space_group_IT_number 225
_space_group_name_Hall '-F 4 2 3'
_cell_length_a 6.890
_cell_length_b 6.890
_cell_length_c 6.890
_cell_angle_alpha 90.00
_cell_angle_beta 90.00
_cell_angle_gamma 90.00
loop_
_atom_site_label
_atom_site_type_symbol
_atom_site_fract_x
_atom_site_fract_y
_atom_site_fract_z
Hg1 Hg 0.250 0.250 0.250
Rh1 Rh 0.000 0.000 0.000
Cl1 Cl 0.000 0.000 0.500
# - Mass density: 11.0 g cm⁻³
# - Raw formation energy: 0.394 eV/atom
# - DFT total energy: -2.0564 eV per atom



(4)
# Dy4HgRh2 PBE relaxed
data_Dy4HgRh2
_space_group_name_H-M_alt 'C 1 c 1'
_space_group_IT_number 9
_cell_length_a 8.467
_cell_length_b 14.504
_cell_length_c 6.992
_cell_angle_alpha 90.00
_cell_angle_beta 127.24
_cell_angle_gamma 90.00
loop_
_space_group_symop_operation_xyz
'x,y,z'
'x,-y,z+1/2'
'x+1/2,y+1/2,z'
'x+1/2,-y+1/2,z+1/2'
loop_
_atom_site_label
_atom_site_type_symbol
_atom_site_fract_x
_atom_site_fract_y
_atom_site_fract_z
Dy1 Dy 0.000 0.009 0.000
Dy2 Dy 0.017 0.428 0.343
Dy3 Dy 0.087 0.223 0.674
Dy4 Dy 0.254 0.210 0.314
Hg1 Hg 0.179 0.382 0.016
Rh1 Rh 0.305 0.086 0.019
Rh2 Rh 0.386 0.340 0.702
# - Mass density: 10.3 g cm⁻³
# - Calculated formation energy: -60.3 kJ/mol of atoms
# - DFT total energy: -5.3981 eV per atom



(5)
# Cs2Au2Se3 PBE relaxed
data_Cs2Au2Se3
_space_group_name_H-M_alt 'C 1 2/c 1'
_space_group_IT_number 15
_cell_length_a 9.873
_cell_length_b 13.551
_cell_length_c 7.778
_cell_angle_alpha 90.00
_cell_angle_beta 93.38
_cell_angle_gamma 90.00
loop_
_space_group_symop_operation_xyz
'x,y,z'
'-x,-y,-z'
'-x,y,-z+1/2'
'x,-y,z+1/2'
'x+1/2,y+1/2,z'
'-x+1/2,-y+1/2,-z'
'-x+1/2,y+1/2,-z+1/2'
'x+1/2,-y+1/2,z+1/2'
loop_
_atom_site_label
_atom_site_type_symbol
_atom_site_fract_x
_atom_site_fract_y
_atom_site_fract_z
Cs1 Cs 0.243 0.104 0.129
Au1 Au 0.068 0.283 0.462
Se1 Se 0.000 0.409 0.250
Se2 Se 0.110 0.156 0.683
# - Mass density: 5.7 g cm⁻³
# - Raw formation energy: -0.689 eV/atom
# - DFT total energy: -3.3629 eV per atom



(6)
# Ce2Dy3Hg3 PBE relaxed
data_Ce2Dy3Hg3
_space_group_name_H-M_alt 'I m m m'
_space_group_IT_number 71
_space_group_name_Hall '-I 2 2'
_cell_length_a 3.631
_cell_length_b 5.298
_cell_length_c 22.479
_cell_angle_alpha 90.00
_cell_angle_beta 90.00
_cell_angle_gamma 90.00
loop_
_atom_site_label
_atom_site_type_symbol
_atom_site_fract_x
_atom_site_fract_y
_atom_site_fract_z
Ce1 Ce 0.000 0.000 0.238
Dy1 Dy 0.000 0.000 0.000
Dy2 Dy 0.000 0.500 0.120
Hg1 Hg 0.000 0.000 0.500
Hg2 Hg 0.000 0.500 0.382
# - Mass density: 10.5 g cm⁻³
# - Calculated formation energy: -29.0 kJ/mol of atoms
# - DFT total energy: -3.6234 eV per atom